(w)
The following is a PBE calculation of crystalline ScSeBr3 at its relaxed geometry, from Alexandria via LeMat-Bulk.

POSCAR file:
```
ScSeBr3
1.0
-4.499 0.045 3.072
-1.623 -4.660 -2.308
2.609 -2.821 3.862
Br Sc Se
3 1 1
Direct
0.000 0.000 0.500 Br
0.500 0.000 0.000 Br
0.000 0.500 0.000 Br
0.500 0.500 0.500 Sc
0.000 0.000 0.000 Se
```

Results
The spin magnetization is 1.6 μB per cell. The space-group type is Pm-3m.

---

(x)
The following is a PBE calculation of crystalline ScSeBr3 at its relaxed geometry, from Alexandria via LeMat-Bulk.

POSCAR file:
```
ScSeBr3
1.0
5.321 0.000 0.000
0.000 5.321 0.000
0.000 0.000 5.321
Sc Br Se
1 3 1
Direct
0.000 0.000 0.000 Sc
0.000 0.000 0.500 Br
0.500 0.000 0.000 Br
0.000 0.500 0.000 Br
0.500 0.500 0.500 Se
```

Results
The spin magnetization is 2.0 μB per cell. The space-group type is Pm-3m.

---

Q: Which of them is the most stable? A: (x).

---

(w)
The following is a PBE calculation of crystalline Sc2SeBr3 at its relaxed geometry, from Alexandria via LeMat-Bulk.

POSCAR file:
```
Sc2SeBr3
1.0
-0.527 -1.390 -3.491
9.393 0.387 -3.635
1.918 -9.805 1.553
Br Se Sc
6 2 4
Direct
0.222 0.165 0.390 Br
0.321 0.333 0.025 Br
0.778 0.835 0.610 Br
0.958 0.815 0.268 Br
0.679 0.667 0.975 Br
0.042 0.185 0.732 Br
0.594 0.483 0.329 Se
0.406 0.517 0.671 Se
0.590 0.282 0.538 Sc
0.134 0.569 0.162 Sc
0.410 0.718 0.462 Sc
0.866 0.431 0.838 Sc
```

Results
The spin magnetization is 1.8 μB per cell. The space-group type is C2/m.

---

(x)
The following is a PBE calculation of crystalline Sc2SeBr3 at its relaxed geometry, from Alexandria via LeMat-Bulk.

POSCAR file:
```
Sc2SeBr3
1.0
3.737 0.000 0.776
1.834 8.692 0.555
-0.312 -1.051 10.886
Se Br Sc
2 6 4
Direct
0.434 0.430 0.702 Se
0.566 0.570 0.298 Se
0.813 0.822 0.552 Br
0.069 0.063 0.798 Br
0.931 0.937 0.202 Br
0.681 0.679 0.958 Br
0.187 0.178 0.448 Br
0.319 0.321 0.042 Br
0.117 0.624 0.142 Sc
0.619 0.136 0.626 Sc
0.883 0.376 0.858 Sc
0.381 0.864 0.374 Sc
```

Results
The spin magnetization is 0.3 μB per cell. The space-group type is C2/m.

---

Q: Which of them is the most stable? A: (x).

---

(w)
The following is a PBE calculation of crystalline ScSnSe2Br at its relaxed geometry, from Alexandria via LeMat-Bulk.

POSCAR file:
```
ScSnSe2Br
1.0
5.352 0.000 0.000
0.000 5.352 0.000
0.000 0.000 5.321
Se Sn Sc Br
2 1 1 1
Direct
0.000 0.500 0.000 Se
0.500 0.000 0.000 Se
0.000 0.000 0.000 Sn
0.500 0.500 0.500 Sc
0.000 0.000 0.500 Br
```

Results
The spin magnetization is 0.8 μB per cell. The space-group type is P4/mmm.

---

(x)
The following is a PBE calculation of crystalline ScSnSe2Br at its relaxed geometry, from Alexandria via LeMat-Bulk.

POSCAR file:
```
ScSnSe2Br
1.0
-2.034 -4.684 1.244
3.085 -0.211 4.250
-3.629 2.305 2.748
Se Sn Br Sc
2 1 1 1
Direct
0.000 0.500 0.000 Se
0.500 0.000 0.000 Se
0.500 0.500 0.500 Sn
0.000 0.000 0.500 Br
0.000 0.000 0.000 Sc
```

Results
The spin magnetization is 0.0 μB per cell. The space-group type is P4/mmm.

---

Q: Which of them is the most stable? A: (x).

---

(w)
The following is a PBE calculation of crystalline ScTcSe2Br at its relaxed geometry, from Alexandria via LeMat-Bulk.

POSCAR file:
```
ScTcSe2Br
1.0
4.910 0.000 0.000
0.000 4.910 0.000
0.000 0.000 5.045
Se Sc Tc Br
2 1 1 1
Direct
0.000 0.500 0.000 Se
0.500 0.000 0.000 Se
0.500 0.500 0.500 Sc
0.000 0.000 0.000 Tc
0.000 0.000 0.500 Br
```

Results
The spin magnetization is 2.1 μB per cell. The space-group type is P4/mmm.

---

(x)
The following is a PBE calculation of crystalline ScTcSe2Br at its relaxed geometry, from Alexandria via LeMat-Bulk.

POSCAR file:
```
ScTcSe2Br
1.0
5.199 0.000 0.000
0.000 5.199 0.000
0.000 0.000 5.104
Se Br Tc Sc
2 1 1 1
Direct
0.000 0.500 0.000 Se
0.500 0.000 0.000 Se
0.000 0.000 0.500 Br
0.500 0.500 0.500 Tc
0.000 0.000 0.000 Sc
```

Results
The spin magnetization is 4.9 μB per cell. The space-group type is P4/mmm.

---

Q: Which of them is the most stable? A: (w).

---

(w)
The following is a PBE calculation of crystalline ScTiSe2Br at its relaxed geometry, from Alexandria via LeMat-Bulk.

POSCAR file:
```
ScTiSe2Br
1.0
5.006 0.000 0.000
0.000 5.006 0.000
0.000 0.000 4.969
Se Sc Ti Br
2 1 1 1
Direct
0.000 0.500 0.000 Se
0.500 0.000 0.000 Se
0.500 0.500 0.500 Sc
0.000 0.000 0.000 Ti
0.000 0.000 0.500 Br
```

Results
The spin magnetization is 1.8 μB per cell. The space-group type is P4/mmm.

---

(x)
The following is a PBE calculation of crystalline ScTiSe2Br at its relaxed geometry, from Alexandria via LeMat-Bulk.

POSCAR file:
```
ScTiSe2Br
1.0
-2.047 4.692 -0.721
-4.160 -2.151 -2.189
-2.247 -0.282 4.547
Ti Se Br Sc
1 2 1 1
Direct
0.500 0.500 0.500 Ti
0.000 0.500 0.000 Se
0.500 0.000 0.000 Se
0.000 0.000 0.500 Br
0.000 0.000 0.000 Sc
```

Results
The spin magnetization is 0.2 μB per cell. The space-group type is P4/mmm.

---

Q: Which of them is the most stable? A: (w).

---

(w)
The following is a PBE calculation of crystalline ScTiSeBr2 at its relaxed geometry, from Alexandria via LeMat-Bulk.

POSCAR file:
```
ScTiSeBr2
1.0
5.098 0.000 0.000
0.000 5.098 0.000
0.000 0.000 5.099
Br Se Sc Ti
2 1 1 1
Direct
0.000 0.500 0.000 Br
0.500 0.000 0.000 Br
0.000 0.000 0.500 Se
0.500 0.500 0.500 Sc
0.000 0.000 0.000 Ti
```

Results
The spin magnetization is 3.0 μB per cell. The space-group type is P4/mmm.

---

(x)
The following is a PBE calculation of crystalline ScTiSeBr2 at its relaxed geometry, from Alexandria via LeMat-Bulk.

POSCAR file:
```
ScTiSeBr2
1.0
5.209 0.000 0.000
0.000 5.209 0.000
0.000 0.000 5.277
Se Br Sc Ti
1 2 1 1
Direct
0.000 0.000 0.500 Se
0.500 0.000 0.000 Br
0.000 0.500 0.000 Br
0.000 0.000 0.000 Sc
0.500 0.500 0.500 Ti
```

Results
The spin magnetization is 2.9 μB per cell. The space-group type is P4/mmm.

---

Q: Which of them is the most stable? A: (w).

---

(w)
The following is a PBE calculation of crystalline ScTlSe2Br at its relaxed geometry, from Alexandria via LeMat-Bulk.

POSCAR file:
```
ScTlSe2Br
1.0
5.186 0.000 0.000
0.000 5.186 0.000
0.000 0.000 5.545
Br Se Sc Tl
1 2 1 1
Direct
0.000 0.000 0.500 Br
0.000 0.500 0.000 Se
0.500 0.000 0.000 Se
0.000 0.000 0.000 Sc
0.500 0.500 0.500 Tl
```

Results
The spin magnetization is 0.1 μB per cell. The space-group type is P4/mmm.

---

(x)
The following is a PBE calculation of crystalline ScTlSe2Br at its relaxed geometry, from Alexandria via LeMat-Bulk.

POSCAR file:
```
ScTlSe2Br
1.0
5.368 0.000 0.000
0.000 5.368 0.000
0.000 0.000 5.441
Se Sc Tl Br
2 1 1 1
Direct
0.500 0.000 0.000 Se
0.000 0.500 0.000 Se
0.500 0.500 0.500 Sc
0.000 0.000 0.000 Tl
0.000 0.000 0.500 Br
```

Results
The spin magnetization is 0.6 μB per cell. The space-group type is P4/mmm.

---

Q: Which of them is the most stable? A: (w).

---

(w)
The following is a PBE calculation of crystalline ScTlSeBr2 at its relaxed geometry, from Alexandria via LeMat-Bulk.

POSCAR file:
```
ScTlSeBr2
1.0
-4.482 -2.651 1.508
1.719 0.019 5.142
-2.411 4.525 0.790
Br Sc Se Tl
2 1 1 1
Direct
0.500 0.000 0.000 Br
0.000 0.500 0.000 Br
0.000 0.000 0.000 Sc
0.000 0.000 0.500 Se
0.500 0.500 0.500 Tl
```

Results
The spin magnetization is 0.0 μB per cell. The space-group type is P4/mmm.

---

(x)
The following is a PBE calculation of crystalline ScTlSeBr2 at its relaxed geometry, from Alexandria via LeMat-Bulk.

POSCAR file:
```
ScTlSeBr2
1.0
-5.375 1.739 0.583
-1.810 -5.321 -0.818
0.280 -0.908 5.288
Br Se Sc Tl
2 1 1 1
Direct
0.500 0.000 0.000 Br
0.000 0.500 0.000 Br
0.000 0.000 0.500 Se
0.500 0.500 0.500 Sc
0.000 0.000 0.000 Tl
```

Results
The spin magnetization is 1.2 μB per cell. The space-group type is P4/mmm.

---

Q: Which of them is the most stable? A: (w).

---

(w)
The following is a PBE calculation of crystalline ScVSe2Br at its relaxed geometry, from Alexandria via LeMat-Bulk.

POSCAR file:
```
ScVSe2Br
1.0
-3.805 -3.440 0.876
1.837 -0.810 4.800
-2.964 3.728 1.764
V Se Sc Br
1 2 1 1
Direct
0.500 0.500 0.500 V
0.500 0.000 0.000 Se
0.000 0.500 0.000 Se
0.000 0.000 0.000 Sc
0.000 0.000 0.500 Br
```

Results
The spin magnetization is 3.1 μB per cell. The space-group type is P4/mmm.

---

(x)
The following is a PBE calculation of crystalline ScVSe2Br at its relaxed geometry, from Alexandria via LeMat-Bulk.

POSCAR file:
```
ScVSe2Br
1.0
4.959 0.000 0.000
0.000 4.959 0.000
0.000 0.000 4.901
Sc Br V Se
1 1 1 2
Direct
0.500 0.500 0.500 Sc
0.000 0.000 0.500 Br
0.000 0.000 0.000 V
0.000 0.500 0.000 Se
0.500 0.000 0.000 Se
```

Results
The spin magnetization is 3.0 μB per cell. The space-group type is P4/mmm.

---

Q: Which of them is the most stable? A: (x).

---

(w)
The following is a PBE calculation of crystalline ScWSeBr2 at its relaxed geometry, from Alexandria via LeMat-Bulk.

POSCAR file:
```
ScWSeBr2
1.0
5.161 0.000 0.000
0.000 5.161 0.000
0.000 0.000 4.972
Br W Se Sc
2 1 1 1
Direct
0.000 0.500 0.000 Br
0.500 0.000 0.000 Br
0.000 0.000 0.000 W
0.000 0.000 0.500 Se
0.500 0.500 0.500 Sc
```

Results
The spin magnetization is 3.3 μB per cell. The space-group type is P4/mmm.

---

(x)
The following is a PBE calculation of crystalline ScWSeBr2 at its relaxed geometry, from Alexandria via LeMat-Bulk.

POSCAR file:
```
ScWSeBr2
1.0
5.117 0.000 0.000
0.000 5.117 0.000
0.000 0.000 5.442
Sc Br Se W
1 2 1 1
Direct
0.000 0.000 0.000 Sc
0.500 0.000 0.000 Br
0.000 0.500 0.000 Br
0.000 0.000 0.500 Se
0.500 0.500 0.500 W
```

Results
The spin magnetization is 5.0 μB per cell. The space-group type is P4/mmm.

---

Q: Which of them is the most stable? A: (x).

---

(w)
The following is a PBE calculation of crystalline YScSe2Br at its relaxed geometry, from Alexandria via LeMat-Bulk.

POSCAR file:
```
YScSe2Br
1.0
-1.453 -4.336 -3.017
5.225 -0.717 -1.486
0.761 -3.187 4.214
Br Sc Se Y
1 1 2 1
Direct
0.000 0.000 0.500 Br
0.500 0.500 0.500 Sc
0.500 0.000 0.000 Se
0.000 0.500 0.000 Se
0.000 0.000 0.000 Y
```

Results
The spin magnetization is 1.0 μB per cell. The space-group type is P4/mmm.

---

(x)
The following is a PBE calculation of crystalline YScSe2Br at its relaxed geometry, from Alexandria via LeMat-Bulk.

POSCAR file:
```
YScSe2Br
1.0
5.179 0.000 0.000
0.000 5.179 0.000
0.000 0.000 5.035
Br Se Y Sc
1 2 1 1
Direct
0.000 0.000 0.500 Br
0.500 0.000 0.000 Se
0.000 0.500 0.000 Se
0.500 0.500 0.500 Y
0.000 0.000 0.000 Sc
```

Results
The spin magnetization is 0.4 μB per cell. The space-group type is P4/mmm.

---

Q: Which of them is the most stable? A: (x).

---

(w)
The following is a PBE calculation of crystalline ScZnSeBr2 at its relaxed geometry, from Alexandria via LeMat-Bulk.

POSCAR file:
```
ScZnSeBr2
1.0
4.993 0.000 0.000
0.000 4.993 0.000
0.000 0.000 5.163
Zn Br Se Sc
1 2 1 1
Direct
0.000 0.000 0.000 Zn
0.500 0.000 0.000 Br
0.000 0.500 0.000 Br
0.000 0.000 0.500 Se
0.500 0.500 0.500 Sc
```

Results
The spin magnetization is 0.8 μB per cell. The space-group type is P4/mmm.

---

(x)
The following is a PBE calculation of crystalline ScZnSeBr2 at its relaxed geometry, from Alexandria via LeMat-Bulk.

POSCAR file:
```
ScZnSeBr2
1.0
5.230 0.000 0.000
0.000 5.230 0.000
0.000 0.000 5.366
Br Sc Zn Se
2 1 1 1
Direct
0.500 0.000 0.000 Br
0.000 0.500 0.000 Br
0.000 0.000 0.000 Sc
0.500 0.500 0.500 Zn
0.000 0.000 0.500 Se
```

Results
The spin magnetization is 0.0 μB per cell. The space-group type is P4/mmm.

---

Q: Which of them is the most stable? A: (x).

---

(w)
The following is a PBE calculation of crystalline ZrScSeBr2 at its relaxed geometry, from Alexandria via LeMat-Bulk.

POSCAR file:
```
ZrScSeBr2
1.0
5.260 0.000 0.000
0.000 5.260 0.000
0.000 0.000 5.299
Se Br Zr Sc
1 2 1 1
Direct
0.000 0.000 0.500 Se
0.000 0.500 0.000 Br
0.500 0.000 0.000 Br
0.000 0.000 0.000 Zr
0.500 0.500 0.500 Sc
```

Results
The spin magnetization is 1.6 μB per cell. The space-group type is P4/mmm.

---

(x)
The following is a PBE calculation of crystalline ZrScSeBr2 at its relaxed geometry, from Alexandria via LeMat-Bulk.

POSCAR file:
```
ZrScSeBr2
1.0
-3.642 1.020 3.498
0.568 -4.727 1.969
3.672 1.814 3.295
Se Zr Br Sc
1 1 2 1
Direct
0.000 0.000 0.500 Se
0.500 0.500 0.500 Zr
0.500 0.000 0.000 Br
0.000 0.500 0.000 Br
0.000 0.000 0.000 Sc
```

Results
The spin magnetization is 2.8 μB per cell. The space-group type is P4/mmm.

---

Q: Which of them is the most stable? A: (w).

---

(w)
The following is a PBE calculation of crystalline ScSi2Br at its relaxed geometry, from Alexandria via LeMat-Bulk.

POSCAR file:
```
ScSi2Br
1.0
0.000 3.443 3.443
3.443 0.000 3.443
3.443 3.443 0.000
Si Br Sc
2 1 1
Direct
0.250 0.250 0.250 Si
0.750 0.750 0.750 Si
0.500 0.500 0.500 Br
0.000 0.000 0.000 Sc
```

Results
The spin magnetization is 0.0 μB per cell. The space-group type is Fm-3m.

---

(x)
The following is a PBE calculation of crystalline ScSi2Br at its relaxed geometry, from Alexandria via LeMat-Bulk.

POSCAR file:
```
ScSi2Br
1.0
8.885 0.000 0.000
0.000 8.885 0.000
4.443 4.443 2.462
Sc Si Br
2 4 2
Direct
0.250 0.750 0.500 Sc
0.500 0.500 0.000 Sc
0.875 0.820 0.750 Si
0.570 0.125 0.250 Si
0.375 0.430 0.750 Si
0.180 0.625 0.250 Si
0.750 0.250 0.500 Br
0.000 0.000 0.000 Br
```

Results
The spin magnetization is 0.0 μB per cell. The space-group type is I-42d.

---

Q: Which of them is the most stable? A: (x).